[1]
A plane-wave DFT calculation with GGA-PBE was carried out for a relaxed Hf5TiIn4 crystal.

Cell lengths 8.035, 8.035, 9.011 Å; angles 95.40, 95.40, 23.24 degrees
Sites, in units of the cell vectors:
Hf: 0.000 0.000 0.000
Hf: 0.309 0.309 0.908
Hf: 0.344 0.344 0.263
Hf: 0.656 0.656 0.737
Hf: 0.691 0.691 0.092
Ti: 0.000 0.000 0.500
In: 0.178 0.178 0.418
In: 0.468 0.468 0.738
In: 0.532 0.532 0.262
In: 0.822 0.822 0.582

Calculated values
DOS(E_F)   0.91 states/eV per atom


[2]
A plane-wave DFT calculation with GGA-PBE was carried out for a relaxed HfTi6In crystal.

Cell lengths 4.702, 5.897, 5.897 Å; angles 64.51, 90.00, 90.00 degrees
Sites, in units of the cell vectors:
Hf: 0.000 0.000 0.000
Ti: 0.000 0.038 0.479
Ti: 0.000 0.479 0.038
Ti: 0.000 0.512 0.512
Ti: 0.500 0.188 0.188
Ti: 0.500 0.234 0.677
Ti: 0.500 0.677 0.234
In: 0.500 0.716 0.716

Calculated values
DOS(E_F)   1.15 states/eV per atom


[3]
A plane-wave DFT calculation with GGA-PBE was carried out for a relaxed Hf4TiIn2 crystal.

Cell lengths 7.563, 6.013, 7.668 Å; angles 90.00, 118.61, 90.00 degrees
Sites, in units of the cell vectors:
Hf: 0.003 0.250 0.495
Hf: 0.148 0.501 0.233
Hf: 0.148 0.999 0.233
Hf: 0.279 0.250 0.933
Hf: 0.721 0.750 0.067
Hf: 0.852 0.001 0.767
Hf: 0.852 0.499 0.767
Hf: 0.997 0.750 0.505
Ti: 0.420 0.750 0.656
Ti: 0.580 0.250 0.344
In: 0.264 0.750 0.943
In: 0.440 0.250 0.628
In: 0.560 0.750 0.372
In: 0.736 0.250 0.057

Calculated values
DOS(E_F)   1.07 states/eV per atom


[4]
A plane-wave DFT calculation with GGA-PBE was carried out for a relaxed HfTiIn crystal.

Cell lengths 4.899, 4.899, 2.946 Å; angles 90.00, 90.00, 120.00 degrees
Sites, in units of the cell vectors:
Hf: 0.000 0.000 0.000
Ti: 0.333 0.667 0.000
In: 0.667 0.333 0.500

Calculated values
DOS(E_F)   1.23 states/eV per atom


[5]
A plane-wave DFT calculation with GGA-PBE was carried out for a relaxed HfTi3In2 crystal.

Cell lengths 8.071, 3.066, 18.985 Å; angles 90.00, 90.00, 90.00 degrees
Sites, in units of the cell vectors:
Hf: 0.066 0.250 0.066
Hf: 0.434 0.750 0.566
Hf: 0.566 0.250 0.434
Hf: 0.934 0.750 0.934
Ti: 0.014 0.750 0.663
Ti: 0.124 0.250 0.545
Ti: 0.137 0.750 0.803
Ti: 0.363 0.250 0.303
Ti: 0.376 0.750 0.045
Ti: 0.486 0.250 0.163
Ti: 0.514 0.750 0.837
Ti: 0.624 0.250 0.955
Ti: 0.637 0.750 0.697
Ti: 0.863 0.250 0.197
Ti: 0.876 0.750 0.455
Ti: 0.986 0.250 0.337
In: 0.176 0.750 0.200
In: 0.233 0.750 0.422
In: 0.267 0.250 0.922
In: 0.324 0.250 0.700
In: 0.676 0.750 0.300
In: 0.733 0.750 0.078
In: 0.767 0.250 0.578
In: 0.824 0.250 0.800

Calculated values
DOS(E_F)   0.86 states/eV per atom


[6]
A plane-wave DFT calculation with GGA-PBE was carried out for a relaxed HfTi2In crystal.

Cell lengths 5.223, 5.223, 5.234 Å; angles 102.50, 102.50, 34.21 degrees
Sites, in units of the cell vectors:
Hf: 0.000 0.000 0.000
Ti: 0.248 0.248 0.742
Ti: 0.752 0.752 0.258
In: 0.500 0.500 0.500

Calculated values
DOS(E_F)   1.37 states/eV per atom


[7]
A plane-wave DFT calculation with GGA-PBE was carried out for a relaxed HfTi7In4 crystal.

Cell lengths 5.808, 5.808, 10.684 Å; angles 115.89, 115.89, 50.85 degrees
Sites, in units of the cell vectors:
Hf: 0.000 0.000 0.000
Ti: 0.036 0.036 0.385
Ti: 0.217 0.217 0.918
Ti: 0.358 0.358 0.466
Ti: 0.500 0.500 0.000
Ti: 0.642 0.642 0.534
Ti: 0.783 0.783 0.082
Ti: 0.964 0.964 0.615
In: 0.280 0.280 0.688
In: 0.403 0.403 0.223
In: 0.597 0.597 0.777
In: 0.720 0.720 0.312

Calculated values
DOS(E_F)   1.16 states/eV per atom


[8]
A plane-wave DFT calculation with GGA-PBE was carried out for a relaxed Hf12TiIn7 crystal.

Cell lengths 8.174, 8.174, 8.174 Å; angles 107.09, 107.09, 107.09 degrees
Sites, in units of the cell vectors:
Hf: 0.075 0.189 0.475
Hf: 0.135 0.840 0.266
Hf: 0.160 0.734 0.865
Hf: 0.189 0.475 0.075
Hf: 0.266 0.135 0.840
Hf: 0.475 0.075 0.189
Hf: 0.525 0.925 0.811
Hf: 0.734 0.865 0.160
Hf: 0.811 0.525 0.925
Hf: 0.840 0.266 0.135
Hf: 0.865 0.160 0.734
Hf: 0.925 0.811 0.525
Ti: 0.500 0.500 0.500
In: 0.000 0.000 0.000
In: 0.177 0.591 0.471
In: 0.409 0.529 0.823
In: 0.471 0.177 0.591
In: 0.529 0.823 0.409
In: 0.591 0.471 0.177
In: 0.823 0.409 0.529

Calculated values
DOS(E_F)   0.86 states/eV per atom


| no. | ΔE_f (meV per atom) | uncorrected energy (eV/atom) |
| --- | --- | --- |
| 1 | 135 | -6.7265 |
| 2 | -6 | -7.5139 |
| 3 | 45 | -7.5529 |
| 4 | 94 | -6.7684 |
| 5 | -51 | -6.5702 |
| 6 | -26 | -7.1461 |
| 7 | 198 | -6.1497 |
| 8 | 12 | -7.3135 |